1.
Below is a geometry-optimized Mg2NpGaAu4 structure, with properties calculated at the PBE-GGA level.

a = 4.5945 Å, b = 4.5945 Å, c = 26.3390 Å
α = 90.00°, β = 90.00°, γ = 120.00°
Closest atoms and distances in Å follow each position.
Space group R-3m (No. 166, hexagonal axes)
Inequivalent atoms, fractional coordinates:
Mg (0.0000, 0.0000, 0.2400)  7 Au 2.79-3.00
Np (0.0000, 0.0000, 0.0000)  8 Au 3.07-3.32
Ga (0.0000, 0.0000, 0.5000)  8 Au 2.85-2.86
Au (0.0000, 0.0000, 0.1259)  4 Mg 2.79-3.00, 3 Ga 2.86
Au (0.0000, 0.0000, 0.3917)  3 Mg 2.81, 1 Ga 2.85, 3 Np 3.07

**Mass density**: 11827 kg/m3
**E_form**: -0.304 eV per atom
**Total energy**: -104.1 eV/cell



2.
Below is a geometry-optimized MgGaAu2O6 structure, with properties calculated at the PBE-GGA level.

a = 12.7123 Å, b = 7.4219 Å, c = 5.7095 Å
α = 90.00°, β = 109.91°, γ = 90.00°
Closest atoms and distances in Å follow each position.
Space group C2/c (No. 15)
Inequivalent atoms, fractional coordinates:
Mg (0.0000, 0.1313, 0.2500)  6 O 2.09-2.22
Ga (0.0000, 0.2674, 0.7500)  4 O 1.86-1.93
Au (0.2442, 0.3525, 0.2219)  4 O 2.00-2.04
O (0.0758, 0.3182, 0.0840)  1 Ga 1.86, 1 Au 2.03
O (0.0880, 0.0959, 0.6425)  1 Ga 1.93, 1 Au 2.04, 1 Mg 2.15
O (0.2100, 0.3915, 0.6098)  2 Au 2.00-2.04

**Mass density**: 7658 kg/m3
**Total energy**: -198.3 eV/cell



3.
Below is a geometry-optimized MgGa3Pb2Au12 structure, with properties calculated at the PBE-GGA level.

a = 8.8051 Å, b = 8.8051 Å, c = 18.1876 Å
α = 90.00°, β = 90.00°, γ = 120.00°
Closest atoms and distances in Å follow each position.
Space group R-3m (No. 166, hexagonal axes)
Inequivalent atoms, fractional coordinates:
Mg (0.0000, 0.0000, 0.0000)  6 Au 2.71
Ga (0.0000, 0.5000, 0.5000)  6 Au 2.60
Pb (0.0000, 0.0000, 0.4070)  6 Au 2.89-2.99
Au (0.0171, 0.5085, 0.3571)  1 Ga 2.60, 1 Mg 2.71, 4 Au 2.81-2.88
Au (0.0332, 0.5166, 0.8852)  2 Ga 2.60, 2 Au 2.88, 1 Pb 2.89

**Mass density**: 12285 kg/m3
**E_form**: -0.004 eV per atom
**Total energy**: -172.5 eV/cell



4.
Below is a geometry-optimized Mg2GaPbAu4 structure, with properties calculated at the PBE-GGA level.

a = 4.6528 Å, b = 4.6528 Å, c = 25.5402 Å
α = 90.00°, β = 90.00°, γ = 120.00°
Closest atoms and distances in Å follow each position.
Space group R-3m (No. 166, hexagonal axes)
Inequivalent atoms, fractional coordinates:
Mg (0.0000, 0.0000, 0.2431)  7 Au 2.80-2.88
Ga (0.0000, 0.0000, 0.5000)  8 Au 2.74-2.84
Pb (0.0000, 0.0000, 0.0000)  8 Au 3.09-3.33
Au (0.0000, 0.0000, 0.1305)  3 Ga 2.84, 4 Mg 2.88
Au (0.0000, 0.0000, 0.3927)  1 Ga 2.74, 3 Mg 2.80

**Mass density**: 11583 kg/m3
**E_form**: -0.328 eV per atom
**Total energy**: -77.0 eV/cell



5.
Below is a geometry-optimized MgGaPdAu2 structure, with properties calculated at the PBE-GGA level.

a = 3.2178 Å, b = 13.7062 Å, c = 8.0065 Å
α = 90.00°, β = 90.00°, γ = 90.00°
Closest atoms and distances in Å follow each position.
Space group Cmcm (No. 63)
Inequivalent atoms, fractional coordinates:
Mg (0.0000, 0.1785, 0.2500)  6 Au 2.76-2.84, 2 Pd 2.77
Ga (0.0000, 0.0000, 0.0000)  4 Pd 2.58, 4 Au 2.76
Pd (0.0000, 0.4861, 0.7500)  4 Ga 2.58, 2 Mg 2.77
Au (0.0000, 0.3383, 0.0411)  3 Mg 2.76-2.84, 2 Ga 2.76, 1 Pd 2.93, 2 Au 2.98

**Mass density**: 11180 kg/m3
**E_form**: -0.437 eV per atom
**Total energy**: -74.2 eV/cell



6.
Below is a geometry-optimized MgGa2PdAu4 structure, with properties calculated at the PBE-GGA level.

a = 3.8528 Å, b = 3.8528 Å, c = 10.4342 Å
α = 90.00°, β = 90.00°, γ = 90.00°
Closest atoms and distances in Å follow each position.
Space group P4/mmm (No. 123)
Inequivalent atoms, fractional coordinates:
Mg (0.0000, 0.0000, 0.0000)  8 Au 2.84
Ga (0.5000, 0.5000, 0.3821)  1 Ga 2.46, 4 Au 2.71
Pd (0.0000, 0.0000, 0.5000)  8 Ga 2.99
Au (0.0000, 0.5000, 0.1996)  2 Ga 2.71, 4 Au 2.72, 2 Mg 2.84

**Mass density**: 11343 kg/m3
**E_form**: -0.165 eV per atom
**Total energy**: -27.3 eV/cell



7.
Below is a geometry-optimized PmMg2GaAu4 structure, with properties calculated at the PBE-GGA level.

a = 4.6132 Å, b = 4.6132 Å, c = 26.3366 Å
α = 90.00°, β = 90.00°, γ = 120.00°
Closest atoms and distances in Å follow each position.
Space group R-3m (No. 166, hexagonal axes)
Inequivalent atoms, fractional coordinates:
Pm (0.0000, 0.0000, 0.0000)  8 Au 3.11-3.35
Mg (0.0000, 0.0000, 0.2400)  7 Au 2.80-2.97
Ga (0.0000, 0.0000, 0.5000)  8 Au 2.79-2.86
Au (0.0000, 0.0000, 0.1271)  4 Mg 2.81-2.97, 3 Ga 2.86
Au (0.0000, 0.0000, 0.3941)  1 Ga 2.79, 3 Mg 2.80, 3 Pm 3.11

**Mass density**: 10789 kg/m3
**E_form**: -0.569 eV per atom
**Total energy**: -85.9 eV/cell



8.
Below is a geometry-optimized PmMgGa2Au5 structure, with properties calculated at the PBE-GGA level.

a = 4.8456 Å, b = 4.8456 Å, c = 7.9829 Å
α = 90.00°, β = 90.00°, γ = 90.00°
Closest atoms and distances in Å follow each position.
Space group P4/mmm (No. 123)
Inequivalent atoms, fractional coordinates:
Pm (0.0000, 0.0000, 0.0000)  12 Au 3.10-3.43
Mg (0.0000, 0.0000, 0.5000)  8 Au 3.18
Ga (0.5000, 0.5000, 0.3464)  1 Ga 2.45, 4 Au 2.56
Au (0.0000, 0.5000, 0.2422)  2 Ga 2.56
Au (0.5000, 0.5000, 0.0000)  2 Ga 2.76

**Mass density**: 11460 kg/m3
**E_form**: -0.383 eV per atom
**Total energy**: -32.2 eV/cell



The highest total energy belongs to which entry?
MgGa2PdAu4